Here is a relaxed structure of Cd2InPd2 from the Open Quantum Materials Database. Energies are from PBE-GGA.

## Properties
**Distance to the lowest polymorph of the same formula**: 0 meV/atom

Unit cell a=6.9978 b=6.9978 c=6.9978 alpha=146.92 beta=146.92 gamma=47.48
Element x y z (fractional)
Cd (0.7500, 0.2500, 0.5000)
Cd (0.2500, 0.7500, 0.5000)
In (0.0000, 0.0000, 0.0000)
Pd (0.4002, 0.4002, 0.0000)
Pd (0.5998, 0.5998, 0.0000)

---

Here is a relaxed structure of CuPW4C2 from the Open Quantum Materials Database. Energies are from PBE-GGA.

## Properties
**Total DFT energy (no corrections)**: -9.77 eV per atom

Unit cell a=3.1355 b=3.1355 c=12.1732 alpha=90.00 beta=90.00 gamma=120.00
Element x y z (fractional)
C (0.3333, 0.6667, 0.2545)
C (0.3333, 0.6667, 0.7455)
Cu (0.0000, 0.0000, 0.0000)
P (0.6667, 0.3333, 0.5000)
W (0.6667, 0.3333, 0.1681)
W (0.0000, 0.0000, 0.3561)
W (0.0000, 0.0000, 0.6439)
W (0.6667, 0.3333, 0.8319)

---

Here is a relaxed structure of Lu5P3 from the Open Quantum Materials Database. Energies are from PBE-GGA.

## Properties
**Total DFT energy (no corrections)**: -5.94 eV per atom

Unit cell a=8.0400 b=8.0400 c=5.8970 alpha=90.00 beta=90.00 gamma=120.00
Element x y z (fractional)
Lu (0.6667, 0.3333, 0.0000)
Lu (0.3333, 0.6667, 0.0000)
Lu (0.2503, 0.0000, 0.2500)
Lu (0.0000, 0.2503, 0.2500)
Lu (0.7497, 0.7497, 0.2500)
Lu (0.6667, 0.3333, 0.5000)
Lu (0.3333, 0.6667, 0.5000)
Lu (0.7497, 0.0000, 0.7500)
Lu (0.2503, 0.2503, 0.7500)
Lu (0.0000, 0.7497, 0.7500)
P (0.6107, 0.0000, 0.2500)
P (0.3893, 0.3893, 0.2500)
P (0.0000, 0.6107, 0.2500)
P (0.3893, 0.0000, 0.7500)
P (0.0000, 0.3893, 0.7500)
P (0.6107, 0.6107, 0.7500)